# 1
An optimized crystal structure of SrTaH, computed with GGA-PBE.

Geometry as POSCAR:
```
SrTaH
1.0
4.548 0.000 0.000
0.000 9.725 0.000
0.000 0.000 5.343
Sr Ta H
4 4 4
Direct
0.000 0.000 0.000
0.000 0.500 0.000
0.500 0.000 0.500
0.500 0.500 0.500
0.000 0.250 0.425
0.000 0.750 0.575
0.500 0.250 0.075
0.500 0.750 0.925
0.248 0.250 0.751
0.252 0.750 0.251
0.748 0.250 0.749
0.752 0.750 0.249
```

Computed properties:
The calculation puts the polymorph energy (0 for the lowest one) at 620 meV per atom. Its space group is Pnma. The value obtained for the raw total energy is -5.04 eV/atom.

=====

# 2
An optimized crystal structure of SrTaH, computed with GGA-PBE.

Geometry as POSCAR:
```
SrTaH
1.0
3.575 0.000 0.000
0.000 3.873 0.000
0.000 0.000 9.639
Sr Ta H
2 2 2
Direct
0.000 0.000 0.000
0.500 0.500 0.386
0.000 0.000 0.647
0.500 0.500 0.743
0.000 0.000 0.445
0.000 0.500 0.634
```

Computed properties:
The calculation puts the polymorph energy (0 for the lowest one) at 131 meV per atom. Its space group is Pmm2. The value obtained for the raw total energy is -5.53 eV/atom.

=====

# 3
An optimized crystal structure of SrTaH, computed with GGA-PBE.

Geometry as POSCAR:
```
SrTaH
1.0
3.633 0.000 0.000
0.000 3.633 0.000
0.000 0.000 9.738
Sr Ta H
2 2 2
Direct
0.250 0.250 0.200
0.750 0.750 0.800
0.250 0.250 0.551
0.750 0.750 0.449
0.250 0.250 0.754
0.750 0.750 0.246
```

Computed properties:
The calculation puts the polymorph energy (0 for the lowest one) at 0 meV per atom. Its space group is P4/nmm. The value obtained for the raw total energy is -5.66 eV/atom.

=====

# 4
An optimized crystal structure of SrTaH, computed with GGA-PBE.

Geometry as POSCAR:
```
SrTaH
1.0
4.118 -2.430 0.000
4.118 2.430 0.000
-2.956 0.000 6.625
Sr Ta H
2 2 2
Direct
0.000 0.000 0.000
0.216 0.216 0.607
0.442 0.442 0.298
0.771 0.771 0.299
0.179 0.679 0.505
0.679 0.179 0.505
```

Computed properties:
The calculation puts the polymorph energy (0 for the lowest one) at 252 meV per atom. Its space group is Cm. The value obtained for the raw total energy is -5.41 eV/atom.

=====

# 5
An optimized crystal structure of SrTaH3, computed with GGA-PBE.

Geometry as POSCAR:
```
SrTaH3
1.0
3.928 0.000 0.000
0.000 3.928 0.000
0.000 0.000 3.928
Sr Ta H
1 1 3
Direct
0.000 0.000 0.000
0.500 0.500 0.500
0.000 0.500 0.500
0.500 0.000 0.500
0.500 0.500 0.000
```

Computed properties:
The calculation puts the polymorph energy (0 for the lowest one) at 0 meV per atom. Its space group is Pm-3m. The value obtained for the raw total energy is -4.71 eV/atom.

=====

# 6
An optimized crystal structure of SrTaH, computed with GGA-PBE.

Geometry as POSCAR:
```
SrTaH
1.0
3.640 0.000 0.000
0.000 9.565 0.000
0.000 0.000 3.872
Sr Ta H
2 2 2
Direct
0.000 0.188 0.000
0.500 0.812 0.500
0.000 0.549 0.067
0.500 0.451 0.567
0.000 0.390 0.384
0.500 0.610 0.884
```

Computed properties:
The calculation puts the polymorph energy (0 for the lowest one) at 215 meV per atom. Its space group is Pmn2_1. The value obtained for the raw total energy is -5.45 eV/atom.

=====

# 7
An optimized crystal structure of SrTa2H, computed with GGA-PBE.

Geometry as POSCAR:
```
SrTa2H
1.0
0.000 4.305 4.305
4.305 0.000 4.305
4.305 4.305 0.000
Sr Ta H
2 4 2
Direct
0.125 0.125 0.125
0.875 0.875 0.875
0.000 0.500 0.500
0.500 0.000 0.500
0.500 0.500 0.000
0.500 0.500 0.500
0.375 0.375 0.375
0.625 0.625 0.625
```

Computed properties:
The calculation puts the polymorph energy (0 for the lowest one) at 0 meV per atom. Its space group is Fd-3m. The value obtained for the raw total energy is -6.73 eV/atom.

=====

# 8
An optimized crystal structure of SrTaH, computed with GGA-PBE.

Geometry as POSCAR:
```
SrTaH
1.0
19.071 0.000 0.000
0.000 3.492 0.000
0.000 0.000 4.195
Sr Ta H
4 4 4
Direct
0.090 0.250 0.248
0.410 0.750 0.748
0.590 0.250 0.252
0.910 0.750 0.752
0.233 0.250 0.748
0.267 0.750 0.248
0.733 0.250 0.752
0.767 0.750 0.252
0.218 0.250 0.247
0.282 0.750 0.747
0.718 0.250 0.253
0.782 0.750 0.753
```

Computed properties:
The calculation puts the polymorph energy (0 for the lowest one) at 308 meV per atom. Its space group is Pnma. The value obtained for the raw total energy is -5.35 eV/atom.

=====

# 9
An optimized crystal structure of SrTaTe2H, computed with GGA-PBE.

Geometry as POSCAR:
```
SrTaTe2H
1.0
5.547 0.000 0.000
0.000 5.547 0.000
0.000 0.000 3.938
Sr Ta Te H
1 1 2 1
Direct
0.000 0.000 0.000
0.500 0.500 0.500
0.000 0.500 0.500
0.500 0.000 0.500
0.500 0.500 0.000
```

Computed properties:
Its space group is P4/mmm. The value obtained for the raw total energy is -5.07 eV/atom.

=====

# 10
An optimized crystal structure of SrZrTa2H, computed with GGA-PBE.

Geometry as POSCAR:
```
SrZrTa2H
1.0
4.944 0.000 0.000
0.000 4.944 0.000
0.000 0.000 5.285
Sr Zr Ta H
1 1 2 1
Direct
0.000 0.000 0.000
0.000 0.000 0.500
0.000 0.500 0.000
0.500 0.000 0.000
0.500 0.500 0.500
```

Computed properties:
Its space group is P4/mmm. The value obtained for the raw total energy is -4.22 eV/atom.

=====

# 11
An optimized crystal structure of Sr2TbH, computed with GGA-PBE.

Geometry as POSCAR:
```
Sr2TbH
1.0
1.884 1.088 10.417
-1.884 1.088 10.417
0.000 -2.176 10.417
Sr Tb H
2 1 1
Direct
0.115 0.115 0.115
0.885 0.885 0.885
0.000 0.000 0.000
0.500 0.500 0.500
```

Computed properties:
Its space group is R-3m. The value obtained for the raw total energy is -2.67 eV/atom.

=====

# 12
An optimized crystal structure of SrTb2H, computed with GGA-PBE.

Geometry as POSCAR:
```
SrTb2H
1.0
1.828 1.055 9.808
-1.828 1.055 9.808
0.000 -2.110 9.808
Sr Tb H
1 2 1
Direct
0.000 0.000 0.000
0.122 0.122 0.122
0.878 0.878 0.878
0.500 0.500 0.500
```

Computed properties:
Its space group is R-3m. The value obtained for the raw total energy is -3.55 eV/atom.

=====

# 13
An optimized crystal structure of SrTc2H2, computed with GGA-PBE.

Geometry as POSCAR:
```
SrTc2H2
1.0
7.206 0.000 0.000
0.000 7.206 0.000
0.000 0.000 2.874
Sr Tc H
2 4 4
Direct
0.000 0.000 0.000
0.500 0.500 0.000
0.110 0.390 0.500
0.390 0.890 0.500
0.610 0.110 0.500
0.890 0.610 0.500
0.102 0.602 0.000
0.398 0.102 0.000
0.602 0.898 0.000
0.898 0.398 0.000
```

Computed properties:
The calculation puts the polymorph energy (0 for the lowest one) at 476 meV per atom. Its space group is P4/mbm. The value obtained for the raw total energy is -5.05 eV/atom.

=====

# 14
An optimized crystal structure of Sr2TcH, computed with GGA-PBE.

Geometry as POSCAR:
```
Sr2TcH
1.0
0.000 3.717 3.717
3.717 0.000 3.717
3.717 3.717 0.000
Sr Tc H
2 1 1
Direct
0.250 0.250 0.250
0.750 0.750 0.750
0.000 0.000 0.000
0.500 0.500 0.500
```

Computed properties:
The calculation puts the polymorph energy (0 for the lowest one) at 237 meV per atom. Its space group is Fm-3m. The value obtained for the raw total energy is -3.40 eV/atom.

=====

# 15
An optimized crystal structure of Sr2TcH, computed with GGA-PBE.

Geometry as POSCAR:
```
Sr2TcH
1.0
-3.619 3.619 3.917
3.619 -3.619 3.917
3.619 3.619 -3.917
Sr Tc H
4 2 2
Direct
0.043 0.125 0.418
0.375 0.957 0.082
0.707 0.625 0.582
0.875 0.293 0.918
0.250 0.750 0.500
0.500 0.500 0.000
0.000 0.000 0.000
0.750 0.250 0.500
```

Computed properties:
The calculation puts the polymorph energy (0 for the lowest one) at 0 meV per atom. Its space group is I-42d. The value obtained for the raw total energy is -3.64 eV/atom.

=====

# 16
An optimized crystal structure of Sr2TcH6, computed with GGA-PBE.

Geometry as POSCAR:
```
Sr2TcH6
1.0
0.000 3.832 3.832
3.832 0.000 3.832
3.832 3.832 0.000
Sr Tc H
2 1 6
Direct
0.250 0.250 0.250
0.750 0.750 0.750
0.000 0.000 0.000
0.233 0.233 0.767
0.233 0.767 0.233
0.233 0.767 0.767
0.767 0.233 0.233
0.767 0.233 0.767
0.767 0.767 0.233
```

Computed properties:
Its space group is Fm-3m. The value obtained for the raw total energy is -4.19 eV/atom.

=====

# 17
An optimized crystal structure of SrTc2H, computed with GGA-PBE.

Geometry as POSCAR:
```
SrTc2H
1.0
0.000 3.292 3.292
3.292 0.000 3.292
3.292 3.292 0.000
Sr Tc H
1 2 1
Direct
0.000 0.000 0.000
0.250 0.250 0.250
0.750 0.750 0.750
0.500 0.500 0.500
```

Computed properties:
The calculation puts the polymorph energy (0 for the lowest one) at 1488 meV per atom. Its space group is Fm-3m. The value obtained for the raw total energy is -4.49 eV/atom.

=====

# 18
An optimized crystal structure of SrTc2H, computed with GGA-PBE.

Geometry as POSCAR:
```
SrTc2H
1.0
-2.780 2.780 4.355
2.780 -2.780 4.355
2.780 2.780 -4.355
Sr Tc H
2 4 2
Direct
0.375 0.625 0.750
0.625 0.375 0.250
0.000 0.000 0.000
0.000 0.000 0.500
0.000 0.500 0.000
0.500 0.000 0.500
0.125 0.875 0.250
0.875 0.125 0.750
```

Computed properties:
The calculation puts the polymorph energy (0 for the lowest one) at 0 meV per atom. Its space group is I4_1/amd. The value obtained for the raw total energy is -5.97 eV/atom.

=====

# 19
An optimized crystal structure of SrTc2H2, computed with GGA-PBE.

Geometry as POSCAR:
```
SrTc2H2
1.0
-1.836 1.836 5.486
1.836 -1.836 5.486
1.836 1.836 -5.486
Sr Tc H
1 2 2
Direct
0.000 0.000 0.000
0.250 0.750 0.500
0.750 0.250 0.500
0.331 0.331 0.000
0.669 0.669 0.000
```

Computed properties:
The calculation puts the polymorph energy (0 for the lowest one) at 0 meV per atom. Its space group is I4/mmm. The value obtained for the raw total energy is -5.53 eV/atom.

=====

# 20
An optimized crystal structure of Sr2TeH, computed with GGA-PBE.

Geometry as POSCAR:
```
Sr2TeH
1.0
0.000 3.864 3.864
3.864 0.000 3.864
3.864 3.864 0.000
Sr Te H
2 1 1
Direct
0.250 0.250 0.250
0.750 0.750 0.750
0.000 0.000 0.000
0.500 0.500 0.500
```

Computed properties:
The calculation puts the polymorph energy (0 for the lowest one) at 262 meV per atom. Its space group is Fm-3m. The value obtained for the raw total energy is -3.08 eV/atom.

=====

# 21
An optimized crystal structure of Sr12Te3H5, computed with GGA-PBE.

Geometry as POSCAR:
```
Sr12Te3H5
1.0
-8.694 8.694 8.694
8.694 -8.694 8.694
8.694 8.694 -8.694
Sr Te H
48 12 20
Direct
0.014 0.209 0.114
0.014 0.306 0.900
0.094 0.709 0.694
0.094 0.886 0.400
0.100 0.614 0.406
0.100 0.986 0.694
0.114 0.014 0.209
0.114 0.600 0.906
0.194 0.209 0.594
0.194 0.486 0.600
0.209 0.114 0.014
0.209 0.594 0.194
0.291 0.306 0.906
0.291 0.486 0.386
0.306 0.900 0.014
0.306 0.906 0.291
0.386 0.291 0.486
0.386 0.594 0.900
0.400 0.094 0.886
0.400 0.806 0.514
0.406 0.100 0.614
0.406 0.806 0.791
0.486 0.386 0.291
0.486 0.600 0.194
0.514 0.400 0.806
0.514 0.614 0.709
0.594 0.194 0.209
0.594 0.900 0.386
0.600 0.194 0.486
0.600 0.906 0.114
0.614 0.406 0.100
0.614 0.709 0.514
0.694 0.094 0.709
0.694 0.100 0.986
0.709 0.514 0.614
0.709 0.694 0.094
0.791 0.406 0.806
0.791 0.886 0.986
0.806 0.514 0.400
0.806 0.791 0.406
0.886 0.400 0.094
0.886 0.986 0.791
0.900 0.014 0.306
0.900 0.386 0.594
0.906 0.114 0.600
0.906 0.291 0.306
0.986 0.694 0.100
0.986 0.791 0.886
0.125 0.250 0.375
0.125 0.375 0.750
0.250 0.375 0.125
0.250 0.875 0.625
0.375 0.125 0.250
0.375 0.750 0.125
0.625 0.250 0.875
0.625 0.875 0.750
0.750 0.125 0.375
0.750 0.625 0.875
0.875 0.625 0.250
0.875 0.750 0.625
0.000 0.000 0.000
0.000 0.000 0.500
0.000 0.500 0.000
0.000 0.500 0.500
0.125 0.750 0.875
0.125 0.875 0.250
0.250 0.125 0.875
0.250 0.625 0.375
0.375 0.250 0.625
0.375 0.625 0.750
0.500 0.000 0.000
0.500 0.000 0.500
0.500 0.500 0.000
0.500 0.500 0.500
0.625 0.375 0.250
0.625 0.750 0.375
0.750 0.375 0.625
0.750 0.875 0.125
0.875 0.125 0.750
0.875 0.250 0.125
```

Computed properties:
Its space group is Ia-3d. The value obtained for the raw total energy is -2.85 eV/atom.

=====

# 22
An optimized crystal structure of Sr3TeH, computed with GGA-PBE.

Geometry as POSCAR:
```
Sr3TeH
1.0
5.414 0.000 0.000
0.000 5.414 0.000
0.000 0.000 5.414
Sr Te H
3 1 1
Direct
0.000 0.000 0.500
0.000 0.500 0.000
0.500 0.000 0.000
0.500 0.500 0.500
0.000 0.000 0.000
```

Computed properties:
The calculation puts the polymorph energy (0 for the lowest one) at 0 meV per atom. Its space group is Pm-3m. The value obtained for the raw total energy is -2.76 eV/atom.

=====

# 23
An optimized crystal structure of SrTeH2, computed with GGA-PBE.

Geometry as POSCAR:
```
SrTeH2
1.0
-2.302 2.302 7.505
2.302 -2.302 7.505
2.302 2.302 -7.505
Sr Te H
2 2 4
Direct
0.000 0.000 0.000
0.750 0.250 0.500
0.250 0.750 0.500
0.500 0.500 0.000
0.166 0.625 0.041
0.375 0.416 0.541
0.584 0.125 0.959
0.875 0.834 0.459
```

Computed properties:
The calculation puts the polymorph energy (0 for the lowest one) at 438 meV per atom. Its space group is I-42d. The value obtained for the raw total energy is -3.01 eV/atom.